(1)
A relaxed Mg2Re crystal. Source: Alexandria, functional GGA-PBE.

Output
Its energy is -4.831 eV/atom. The value obtained for the density is 7.577 g/cm3.

Cell: 8.141 8.141 2.690 Å, 90.00 90.00 120.00°
Sites, in units of the cell vectors:
Re (0.667, 0.333, 0.000)
Re (0.333, 0.667, 0.000)
Re (0.000, 0.000, 0.500)
Mg (0.358, 0.358, 0.500)
Mg (0.000, 0.309, 0.000)
Mg (0.000, 0.642, 0.500)
Mg (0.309, 0.000, 0.000)
Mg (0.642, 0.000, 0.500)
Mg (0.691, 0.691, 0.000)

---

(2)
A relaxed Mg3Re crystal. Source: Alexandria, functional GGA-PBE.

Output
Its energy is -3.996 eV/atom. The value obtained for the density is 5.972 g/cm3.

Cell: 2.803 4.431 5.801 Å, 90.00 90.00 90.00°
Sites, in units of the cell vectors:
Mg (0.500, 0.500, 0.771)
Mg (0.000, 0.000, 0.500)
Mg (0.500, 0.500, 0.229)
Re (0.000, 0.000, 0.000)

---

(3)
A relaxed Mg3Re crystal. Source: Alexandria, functional GGA-PBE.

Output
Its energy is -3.998 eV/atom. The value obtained for the density is 5.783 g/cm3.

Cell: 2.816 2.816 9.382 Å, 90.00 90.00 90.00°
Sites, in units of the cell vectors:
Mg (0.500, 0.500, 0.774)
Mg (0.500, 0.500, 0.226)
Mg (0.000, 0.000, 0.500)
Re (0.000, 0.000, 0.000)

---

(4)
A relaxed Mg5Re3 crystal. Source: Alexandria, functional GGA-PBE.

Output
Its energy is -5.123 eV/atom. The value obtained for the density is 7.652 g/cm3.

Cell: 8.413 8.415 4.817 Å, 90.00 90.00 120.06°
Sites, in units of the cell vectors:
Mg (0.766, 0.000, 0.750)
Mg (0.234, 0.000, 0.250)
Mg (0.000, 0.766, 0.750)
Mg (0.667, 0.333, 0.500)
Mg (0.333, 0.667, 0.500)
Mg (0.333, 0.667, 0.000)
Mg (0.766, 0.766, 0.250)
Mg (0.234, 0.234, 0.750)
Mg (0.000, 0.234, 0.250)
Mg (0.667, 0.333, 0.000)
Re (0.565, 0.565, 0.750)
Re (0.000, 0.565, 0.250)
Re (0.565, 0.000, 0.250)
Re (0.435, 0.435, 0.250)
Re (0.435, 0.000, 0.750)
Re (0.000, 0.435, 0.750)

---

(5)
A relaxed Mg2Re crystal. Source: Alexandria, functional GGA-PBE.

Output
Its energy is -4.848 eV/atom. The value obtained for the density is 7.658 g/cm3.

Cell: 4.995 4.995 4.995 Å, 148.73 127.37 62.51°
Sites, in units of the cell vectors:
Mg (0.663, 0.663, 0.000)
Mg (0.337, 0.337, 0.000)
Re (0.000, 0.000, 0.000)

---

(6)
A relaxed Mg3Re4 crystal. Source: Alexandria, functional GGA-PBE.

Output
Its energy is -7.264 eV/atom. The value obtained for the density is 12.773 g/cm3.

Cell: 4.945 4.945 5.021 Å, 90.00 90.00 120.00°
Sites, in units of the cell vectors:
Re (0.000, 0.000, 0.255)
Re (0.000, 0.000, 0.745)
Re (0.667, 0.333, 0.500)
Re (0.333, 0.667, 0.500)
Mg (0.000, 0.500, 0.000)
Mg (0.500, 0.500, 0.000)
Mg (0.500, 0.000, 0.000)

---

(7)
A relaxed Mg2Re crystal. Source: Alexandria, functional GGA-PBE.

Output
Its energy is -4.967 eV/atom. The value obtained for the density is 7.175 g/cm3.

Cell: 5.698 4.413 8.644 Å, 90.00 90.00 90.00°
Sites, in units of the cell vectors:
Mg (0.104, 0.250, 0.611)
Mg (0.790, 0.750, 0.714)
Mg (0.210, 0.250, 0.286)
Mg (0.396, 0.750, 0.111)
Mg (0.710, 0.250, 0.214)
Mg (0.290, 0.750, 0.786)
Mg (0.604, 0.250, 0.889)
Mg (0.896, 0.750, 0.389)
Re (0.408, 0.750, 0.470)
Re (0.092, 0.250, 0.970)
Re (0.908, 0.750, 0.030)
Re (0.592, 0.250, 0.530)

---

(8)
A relaxed Mg2Re crystal. Source: Alexandria, functional GGA-PBE.

Output
Its energy is -4.473 eV/atom. The value obtained for the density is 7.742 g/cm3.

Cell: 5.126 5.126 8.855 Å, 90.00 90.00 120.00°
Sites, in units of the cell vectors:
Re (0.333, 0.667, 0.034)
Re (0.667, 0.333, 0.966)
Re (0.667, 0.333, 0.534)
Re (0.333, 0.667, 0.466)
Mg (0.000, 0.000, 0.500)
Mg (0.172, 0.344, 0.750)
Mg (0.828, 0.656, 0.250)
Mg (0.172, 0.828, 0.750)
Mg (0.656, 0.828, 0.750)
Mg (0.000, 0.000, 0.000)
Mg (0.828, 0.172, 0.250)
Mg (0.344, 0.172, 0.250)